# LaMoO6 GGA+U relaxed
data_LaMoO6
_chemical_formula_sum 'La4 Mo4 O24'
_symmetry_space_group_name_H-M 'F m -3 m'
_symmetry_Int_Tables_number 225
_symmetry_space_group_name_Hall '-F 4 2 3'
_cell_length_a 8.6778
_cell_length_b 8.6778
_cell_length_c 8.6778
_cell_angle_alpha 90.00
_cell_angle_beta 90.00
_cell_angle_gamma 90.00
loop_
_atom_site_label
_atom_site_fract_x
_atom_site_fract_y
_atom_site_fract_z
La1 0.0000 0.0000 0.0000
Mo1 0.0000 0.0000 0.5000
O1 0.0000 0.0000 0.2789
# **Fermi-level density of states**: 12.9 states/eV/cell
# **Volume**: 20.4 Å³/atom
# **Total DFT energy (no corrections)**: -6.6832 eV/atom
# **Total magnetization**: 3.00 μB per formula unit